P.
The following is a DFT calculation (PBE) of a relaxed Ba2TlHRh crystal.

density: 6.6 Mg/m³
space group: P2_1/m, No. 11

a b c (Å): 7.2764 4.4287 9.5975
angles (deg): 90.00 107.63 90.00
Positions (direct):
1 Ba 0.2235 0.2500 0.3972
2 Ba 0.2401 0.2500 0.9686
3 Ba 0.7599 0.7500 0.0314
4 Ba 0.7765 0.7500 0.6028
5 Tl 0.3369 0.7500 0.7075
6 Tl 0.6631 0.2500 0.2925
7 H 0.1655 0.7500 0.1578
8 H 0.8345 0.2500 0.8422
9 Rh 0.4117 0.7500 0.2259
10 Rh 0.5883 0.2500 0.7741



Q.
The following is a DFT calculation (PBE) of a relaxed Ba2TlHRh crystal.

density: 7.3 Mg/m³
space group: P4/mmm, No. 123

a b c (Å): 5.9264 5.9264 3.7721
angles (deg): 90.00 90.00 90.00
Positions (direct):
1 Ba 0.0000 0.5000 0.0000
2 Ba 0.5000 0.0000 0.0000
3 Tl 0.0000 0.0000 0.5000
4 H 0.5000 0.5000 0.0000
5 Rh 0.5000 0.5000 0.5000



Quick one: most stable of them? P



P.
The following is a DFT calculation (PBE) of a relaxed Ba2HRu crystal.

density: 5.1 Mg/m³
space group: I-42d, No. 122

a b c (Å): 7.9494 7.9494 7.9494
angles (deg): 135.01 135.01 65.51
Positions (direct):
1 Ba 0.1124 0.6250 0.9874
2 Ba 0.3750 0.3624 0.4874
3 Ba 0.6376 0.1250 0.0126
4 Ba 0.8750 0.8876 0.5126
5 H 0.0000 0.0000 0.0000
6 H 0.7500 0.2500 0.5000
7 Ru 0.2500 0.7500 0.5000
8 Ru 0.5000 0.5000 0.0000



Q.
The following is a DFT calculation (PBE) of a relaxed Ba2HRu crystal.

density: 5.9 Mg/m³
space group: Fm-3m, No. 225

a b c (Å): 5.3107 5.3107 5.3107
angles (deg): 60.00 60.00 60.00
Positions (direct):
1 Ba 0.2500 0.2500 0.2500
2 Ba 0.7500 0.7500 0.7500
3 H 0.0000 0.0000 0.0000
4 Ru 0.5000 0.5000 0.5000



Quick one: most stable of them? P



P.
The following is a DFT calculation (PBE) of a relaxed BaHRu3 crystal.

density: 5.3 Mg/m³
space group: Pm-3m, No. 221

a b c (Å): 5.1691 5.1691 5.1691
angles (deg): 90.00 90.00 90.00
Positions (direct):
1 Ba 0.0000 0.0000 0.0000
2 H 0.5000 0.5000 0.5000
3 Ru 0.0000 0.0000 0.5000
4 Ru 0.0000 0.5000 0.0000
5 Ru 0.5000 0.0000 0.0000



Q.
The following is a DFT calculation (PBE) of a relaxed BaHRu3 crystal.

density: 9.5 Mg/m³
space group: Pm-3m, No. 221

a b c (Å): 4.2515 4.2515 4.2515
angles (deg): 90.00 90.00 90.00
Positions (direct):
1 Ba 0.0000 0.0000 0.0000
2 H 0.5000 0.5000 0.5000
3 Ru 0.0000 0.5000 0.5000
4 Ru 0.5000 0.0000 0.5000
5 Ru 0.5000 0.5000 0.0000



Quick one: most stable of them? Q



P.
The following is a DFT calculation (PBE) of a relaxed BaHS2 crystal.

density: 2.7 Mg/m³
space group: R-3m, No. 166

a b c (Å): 6.4378 6.4378 6.4378
angles (deg): 46.02 46.02 46.02
Positions (direct):
1 Ba 0.0000 0.0000 0.0000
2 H 0.5000 0.5000 0.5000
3 S 0.4082 0.4082 0.4082
4 S 0.5918 0.5918 0.5918



Q.
The following is a DFT calculation (PBE) of a relaxed BaHS2 crystal.

density: 3.7 Mg/m³
space group: R-3m, No. 166

a b c (Å): 5.6286 5.6286 5.6286
angles (deg): 47.85 47.85 47.85
Positions (direct):
1 Ba 0.0000 0.0000 0.0000
2 H 0.5000 0.5000 0.5000
3 S 0.2073 0.2073 0.2073
4 S 0.7927 0.7927 0.7927



R.
The following is a DFT calculation (PBE) of a relaxed BaHS2 crystal.

density: 3.4 Mg/m³
space group: Fm-3m, No. 225

a b c (Å): 5.2122 5.2122 5.2122
angles (deg): 60.00 60.00 60.00
Positions (direct):
1 Ba 0.0000 0.0000 0.0000
2 H 0.5000 0.5000 0.5000
3 S 0.2500 0.2500 0.2500
4 S 0.7500 0.7500 0.7500



Quick one: most stable of them? P



P.
The following is a DFT calculation (PBE) of a relaxed BaHS2 crystal.

density: 3.2 Mg/m³
space group: P2_1/c, No. 14

a b c (Å): 7.6521 5.6995 11.9734
angles (deg): 90.00 126.96 90.00
Positions (direct):
1 Ba 0.2128 0.2495 0.1844
2 Ba 0.2128 0.2505 0.6844
3 Ba 0.7872 0.7495 0.3156
4 Ba 0.7872 0.7505 0.8156
5 H 0.4540 0.7438 0.4422
6 H 0.4540 0.7562 0.9422
7 H 0.5460 0.2438 0.0578
8 H 0.5460 0.2562 0.5578
9 S 0.2388 0.7494 0.3361
10 S 0.2388 0.7506 0.8361
11 S 0.2644 0.7497 0.0963
12 S 0.2644 0.7503 0.5963
13 S 0.7356 0.2497 0.4037
14 S 0.7356 0.2503 0.9037
15 S 0.7612 0.2494 0.1639
16 S 0.7612 0.2506 0.6639



Q.
The following is a DFT calculation (PBE) of a relaxed BaHS2 crystal.

density: 3.9 Mg/m³
space group: I4_1/amd, No. 141

a b c (Å): 7.3603 7.3603 7.3603
angles (deg): 138.94 138.94 59.47
Positions (direct):
1 Ba 0.3750 0.6250 0.7500
2 Ba 0.6250 0.3750 0.2500
3 H 0.1250 0.8750 0.2500
4 H 0.8750 0.1250 0.7500
5 S 0.0000 0.0000 0.0000
6 S 0.0000 0.0000 0.5000
7 S 0.0000 0.5000 0.0000
8 S 0.5000 0.0000 0.5000



Quick one: most stable of them? P



P.
The following is a DFT calculation (PBE) of a relaxed Ba3Sb2H crystal.

density: 5.1 Mg/m³
space group: Cmcm, No. 63

a b c (Å): 12.5486 12.5486 7.5006
angles (deg): 90.00 90.00 158.80
Positions (direct):
1 Ba 0.0859 0.9141 0.5157
2 Ba 0.0859 0.9141 0.9843
3 Ba 0.2848 0.7152 0.7500
4 Ba 0.7152 0.2848 0.2500
5 Ba 0.9141 0.0859 0.0157
6 Ba 0.9141 0.0859 0.4843
7 Sb 0.3236 0.6764 0.2500
8 Sb 0.4927 0.5073 0.7500
9 Sb 0.5073 0.4927 0.2500
10 Sb 0.6764 0.3236 0.7500
11 H 0.1543 0.8457 0.2500
12 H 0.8457 0.1543 0.7500



Q.
The following is a DFT calculation (PBE) of a relaxed Ba3Sb2H crystal.

density: 4.5 Mg/m³
space group: Pnnm, No. 58

a b c (Å): 6.9085 14.6896 4.7682
angles (deg): 90.00 90.00 90.00
Positions (direct):
1 Ba 0.0000 0.0000 0.0000
2 Ba 0.0011 0.3438 0.0000
3 Ba 0.4989 0.8438 0.5000
4 Ba 0.5000 0.5000 0.5000
5 Ba 0.5011 0.1562 0.5000
6 Ba 0.9989 0.6562 0.0000
7 Sb 0.0013 0.1694 0.5000
8 Sb 0.4987 0.6694 0.0000
9 Sb 0.5013 0.3306 0.0000
10 Sb 0.9987 0.8306 0.5000
11 H 0.0000 0.5000 0.5000
12 H 0.5000 0.0000 0.0000



Quick one: most stable of them? P



P.
The following is a DFT calculation (PBE) of a relaxed Ba3SbH2 crystal.

density: 4.6 Mg/m³
space group: Cmcm, No. 63

a b c (Å): 8.3382 8.3382 5.6868
angles (deg): 90.00 90.00 103.28
Positions (direct):
1 Ba 0.1147 0.8853 0.7500
2 Ba 0.1799 0.4142 0.7500
3 Ba 0.4142 0.1799 0.2500
4 Ba 0.5858 0.8201 0.7500
5 Ba 0.8201 0.5858 0.2500
6 Ba 0.8853 0.1147 0.2500
7 Sb 0.3061 0.6939 0.2500
8 Sb 0.6939 0.3061 0.7500
9 H 0.1517 0.1517 0.0000
10 H 0.1517 0.1517 0.5000
11 H 0.8483 0.8483 0.0000
12 H 0.8483 0.8483 0.5000



Q.
The following is a DFT calculation (PBE) of a relaxed Ba3SbH2 crystal.

density: 4.2 Mg/m³
space group: C2/m, No. 12

a b c (Å): 13.0658 13.0658 7.0000
angles (deg): 105.27 105.27 21.41
Positions (direct):
1 Ba 0.0510 0.0510 0.2795
2 Ba 0.2279 0.2279 0.2322
3 Ba 0.3962 0.3962 0.1433
4 Ba 0.6038 0.6038 0.8567
5 Ba 0.7721 0.7721 0.7678
6 Ba 0.9490 0.9490 0.7205
7 Sb 0.3512 0.3512 0.5919
8 Sb 0.6488 0.6488 0.4081
9 H 0.0624 0.0624 0.8963
10 H 0.2903 0.2903 0.9882
11 H 0.7097 0.7097 0.0118
12 H 0.9376 0.9376 0.1037



Quick one: most stable of them? P



P.
The following is a DFT calculation (PBE) of a relaxed BaSbH3 crystal.

density: 5.2 Mg/m³
space group: Pm-3m, No. 221

a b c (Å): 4.3790 4.3790 4.3790
angles (deg): 90.00 90.00 90.00
Positions (direct):
1 Ba 0.0000 0.0000 0.0000
2 Sb 0.5000 0.5000 0.5000
3 H 0.0000 0.5000 0.5000
4 H 0.5000 0.0000 0.5000
5 H 0.5000 0.5000 0.0000



Q.
The following is a DFT calculation (PBE) of a relaxed BaSbH3 crystal.

density: 4.2 Mg/m³
space group: Pm-3m, No. 221

a b c (Å): 4.6805 4.6805 4.6805
angles (deg): 90.00 90.00 90.00
Positions (direct):
1 Ba 0.0000 0.0000 0.0000
2 Sb 0.5000 0.5000 0.5000
3 H 0.0000 0.0000 0.5000
4 H 0.0000 0.5000 0.0000
5 H 0.5000 0.0000 0.0000



Quick one: most stable of them? P



P.
The following is a DFT calculation (PBE) of a relaxed Ba2Sb2H crystal.

density: 4.6 Mg/m³
space group: P4/mbm, No. 127

a b c (Å): 9.0829 9.0829 4.5835
angles (deg): 90.00 90.00 90.00
Positions (direct):
1 Ba 0.1863 0.3137 0.0000
2 Ba 0.3137 0.8137 0.0000
3 Ba 0.6863 0.1863 0.0000
4 Ba 0.8137 0.6863 0.0000
5 Sb 0.1084 0.6084 0.5000
6 Sb 0.3916 0.1084 0.5000
7 Sb 0.6084 0.8916 0.5000
8 Sb 0.8916 0.3916 0.5000
9 H 0.0000 0.0000 0.5000
10 H 0.5000 0.5000 0.5000



Q.
The following is a DFT calculation (PBE) of a relaxed Ba2Sb2H crystal.

density: 4.1 Mg/m³
space group: I4/mmm, No. 139

a b c (Å): 6.7328 6.7328 6.7328
angles (deg): 121.33 121.33 87.71
Positions (direct):
1 Ba 0.2500 0.7500 0.5000
2 Ba 0.7500 0.2500 0.5000
3 Sb 0.1443 0.1443 0.0000
4 Sb 0.8557 0.8557 0.0000
5 H 0.5000 0.5000 0.0000



Quick one: most stable of them? P



P.
The following is a DFT calculation (PBE) of a relaxed Ba4Sb2H crystal.

density: 4.7 Mg/m³
space group: Pnma, No. 62

a b c (Å): 9.4581 7.7384 15.3947
angles (deg): 90.00 90.00 90.00
Positions (direct):
1 Ba 0.0841 0.2500 0.0640
2 Ba 0.1208 0.2500 0.5493
3 Ba 0.2399 0.0023 0.2999
4 Ba 0.2399 0.4977 0.2999
5 Ba 0.2601 0.5023 0.7999
6 Ba 0.2601 0.9977 0.7999
7 Ba 0.3792 0.7500 0.0493
8 Ba 0.4159 0.7500 0.5640
9 Ba 0.5841 0.2500 0.4360
10 Ba 0.6208 0.2500 0.9507
11 Ba 0.7399 0.0023 0.2001
12 Ba 0.7399 0.4977 0.2001
13 Ba 0.7601 0.5023 0.7001
14 Ba 0.7601 0.9977 0.7001
15 Ba 0.8792 0.7500 0.4507
16 Ba 0.9159 0.7500 0.9360
17 Sb 0.0435 0.7500 0.1491
18 Sb 0.0689 0.7500 0.6494
19 Sb 0.4311 0.2500 0.1494
20 Sb 0.4565 0.2500 0.6491
21 Sb 0.5435 0.7500 0.3509
22 Sb 0.5689 0.7500 0.8506
23 Sb 0.9311 0.2500 0.3506
24 Sb 0.9565 0.2500 0.8509
25 H 0.1954 0.7500 0.9153
26 H 0.3046 0.2500 0.4153
27 H 0.6954 0.7500 0.5847
28 H 0.8046 0.2500 0.0847



Q.
The following is a DFT calculation (PBE) of a relaxed Ba4Sb2H crystal.

density: 5.0 Mg/m³
space group: I4/mmm, No. 139

a b c (Å): 10.1661 10.1661 10.1661
angles (deg): 149.86 149.86 43.14
Positions (direct):
1 Ba 0.0000 0.5000 0.5000
2 Ba 0.1799 0.1799 0.0000
3 Ba 0.5000 0.0000 0.5000
4 Ba 0.8201 0.8201 0.0000
5 Sb 0.3665 0.3665 0.0000
6 Sb 0.6335 0.6335 0.0000
7 H 0.0000 0.0000 0.0000



Quick one: most stable of them? Q



P.
The following is a DFT calculation (PBE) of a relaxed BaSrSbH crystal.

density: 4.6 Mg/m³
space group: F-43m, No. 216

a b c (Å): 5.6317 5.6317 5.6317
angles (deg): 60.00 60.00 60.00
Positions (direct):
1 Ba 0.0000 0.0000 0.0000
2 Sr 0.5000 0.5000 0.5000
3 Sb 0.7500 0.7500 0.7500
4 H 0.2500 0.2500 0.2500



Q.
The following is a DFT calculation (PBE) of a relaxed BaSrSbH crystal.

density: 4.1 Mg/m³
space group: P6_3mc, No. 186

a b c (Å): 5.4754 5.4754 10.7494
angles (deg): 90.00 90.00 120.00
Positions (direct):
1 Ba 0.3333 0.6667 0.0000
2 Ba 0.6667 0.3333 0.5000
3 Sr 0.0000 0.0000 0.2633
4 Sr 0.0000 0.0000 0.7633
5 Sb 0.3333 0.6667 0.3282
6 Sb 0.6667 0.3333 0.8282
7 H 0.0000 0.0000 0.0277
8 H 0.0000 0.0000 0.5277



Quick one: most stable of them? Q